Computed, not measured: an optimized crystal structure of Ta2HgP at the PBE level of DFT.

Calculated values
V in Å³ per cell: 71.11
Distance to the lowest polymorph of the same formula in eV/f.u.: 0.66
ΔH_f (0 K) in meV/atom: 27.5

Cell: 5.0309 5.0309 5.0309 Å, 138.18 120.92 74.98°
Fractional positions:
Ta 0.7059 0.7059 0.0000
Ta 0.2941 0.2941 0.0000
Hg 0.0000 0.5000 0.5000
P 0.5000 0.0000 0.5000

***

Computed, not measured: an optimized crystal structure of Ta2HgP at the PBE level of DFT.

Calculated values
V in Å³ per cell: 69.25
Distance to the lowest polymorph of the same formula in eV/f.u.: 0.00
ΔH_f (0 K) in meV/atom: -138.2

Cell: 3.0757 3.0757 7.3201 Å, 90.00 90.00 90.00°
Fractional positions:
Ta 0.0000 0.0000 0.6986
Ta 0.0000 0.0000 0.3014
Hg 0.5000 0.5000 0.0000
P 0.5000 0.5000 0.5000

***

Computed, not measured: an optimized crystal structure of Ta2HgP at the PBE level of DFT.

Calculated values
V in Å³ per cell: 70.59
Distance to the lowest polymorph of the same formula in eV/f.u.: 2.08
ΔH_f (0 K) in meV/atom: 382.4

Cell: 5.3023 5.3023 5.3023 Å, 136.15 136.15 63.75°
Fractional positions:
Ta 0.0000 0.0000 0.0000
Ta 0.2500 0.7500 0.5000
Hg 0.5000 0.5000 0.0000
P 0.7500 0.2500 0.5000

***

Computed, not measured: an optimized crystal structure of TaHgP4 at the PBE level of DFT.

Calculated values
V in Å³ per cell: 96.47
ΔH_f (0 K) in meV/atom: 686.9

Cell: 5.1479 5.1479 5.1479 Å, 60.00 60.00 60.00°
Fractional positions:
Ta 0.7500 0.7500 0.7500
Hg 0.0000 0.0000 0.0000
P 0.8652 0.3783 0.3783
P 0.3783 0.3783 0.8652
P 0.3783 0.8652 0.3783
P 0.3783 0.3783 0.3783